Record 1
The following is a DFT calculation (PBE) of TcHgIr2 after structural relaxation.

Geometry as POSCAR:
```
TcHgIr2
1.0
-2.156 3.693 -2.497
-0.821 -1.222 -4.728
-1.014 -2.229 4.304
Tc Ir Hg
1 2 1
Cartesian
-1.488 1.235 -3.612
-1.662 -1.108 -2.018
0.000 0.000 0.000
-2.329 1.349 -0.903
```

Values from the calculation:
The total magnetic moment is 0.00 μB/atom. For the final energy, the calculation gives -6.63 eV/atom.



Record 2
The following is a DFT calculation (PBE) of ZnTc2HgIr after structural relaxation.

Geometry as POSCAR:
```
ZnTc2HgIr
1.0
4.755 0.000 0.000
0.000 5.175 0.000
0.000 0.000 4.755
Tc Zn Ir Hg
2 1 1 1
Cartesian
0.000 0.000 2.377
2.377 0.000 0.000
2.377 2.587 2.377
0.000 0.000 0.000
0.000 2.587 0.000
```

Values from the calculation:
The total magnetic moment is 0.56 μB/atom. For the final energy, the calculation gives -4.75 eV/atom.



Record 3
The following is a DFT calculation (PBE) of ZrTc2HgIr after structural relaxation.

Geometry as POSCAR:
```
ZrTc2HgIr
1.0
4.712 0.000 0.000
0.000 5.003 0.000
0.000 0.000 4.712
Zr Ir Tc Hg
1 1 2 1
Cartesian
2.356 2.501 2.356
0.000 0.000 0.000
2.356 0.000 0.000
0.000 0.000 2.356
0.000 2.501 0.000
```

Values from the calculation:
The total magnetic moment is 0.00 μB/atom. For the final energy, the calculation gives -6.44 eV/atom.



Record 4
The following is a DFT calculation (PBE) of HgTe2Ir after structural relaxation.

Geometry as POSCAR:
```
HgTe2Ir
1.0
3.961 0.000 0.000
1.980 3.430 0.000
1.980 1.143 8.207
Te Hg Ir
2 1 1
Cartesian
1.980 1.143 1.381
1.980 1.143 6.805
3.961 2.287 4.146
5.941 3.430 8.186
```

Values from the calculation:
The value obtained for the raw formation energy is -0.158 eV per atom. The total magnetic moment is 0.00 μB/atom. For the final energy, the calculation gives -4.02 eV/atom.



Record 5
The following is a DFT calculation (PBE) of Hg2TeIr after structural relaxation.

Geometry as POSCAR:
```
Hg2TeIr
1.0
-1.808 3.720 0.835
-1.714 0.032 -3.855
-3.815 -2.231 1.677
Hg Te Ir
2 1 1
Cartesian
0.000 0.000 0.000
-1.761 1.876 -1.510
-2.764 -1.099 -1.089
-2.812 0.744 1.256
```

Values from the calculation:
The value obtained for the raw formation energy is 0.569 eV per atom. The total magnetic moment is 0.00 μB/atom. For the final energy, the calculation gives -2.58 eV/atom.



Record 6
The following is a DFT calculation (PBE) of Hg2TeIr2 after structural relaxation.

Geometry as POSCAR:
```
Hg2TeIr2
1.0
-1.452 -7.160 5.254
-6.010 -5.827 3.302
4.136 4.941 -6.282
Ir Te Hg
2 1 2
Cartesian
-0.524 -4.356 1.625
-2.803 -3.690 0.649
0.000 0.000 0.000
-4.596 -7.999 5.270
-2.866 -4.988 3.286
```

Values from the calculation:
The value obtained for the raw formation energy is 0.623 eV per atom. The total magnetic moment is 0.00 μB/atom. For the final energy, the calculation gives -3.67 eV/atom.



Record 7
The following is a DFT calculation (PBE) of Hg2TeIr after structural relaxation.

Geometry as POSCAR:
```
Hg2TeIr
1.0
8.599 -0.033 -0.020
7.787 3.647 -0.020
7.787 1.718 3.218
Te Hg Ir
1 2 1
Cartesian
18.726 4.131 2.462
5.740 1.266 0.755
23.981 5.290 3.153
11.983 2.643 1.576
```

Values from the calculation:
The value obtained for the raw formation energy is 0.092 eV per atom. The total magnetic moment is 0.00 μB/atom. For the final energy, the calculation gives -3.06 eV/atom.



Record 8
The following is a DFT calculation (PBE) of Hg2TeIr after structural relaxation.

Geometry as POSCAR:
```
Hg2TeIr
1.0
-4.075 -0.252 4.763
-4.126 -2.956 -3.687
-1.557 -7.481 2.403
Hg Te Ir
4 2 2
Cartesian
-4.090 -6.704 2.343
-3.326 -3.740 -1.285
-3.603 -2.407 3.293
-8.497 -8.527 2.606
-4.101 -1.604 0.538
-4.892 -6.020 -0.373
0.000 0.000 0.000
-4.867 -4.668 3.852
```

Values from the calculation:
The value obtained for the raw formation energy is 0.870 eV per atom. The total magnetic moment is 0.25 μB/atom. For the final energy, the calculation gives -2.28 eV/atom.



Record 9
The following is a DFT calculation (PBE) of Hg2TeIr after structural relaxation.

Geometry as POSCAR:
```
Hg2TeIr
1.0
7.118 0.038 -0.009
4.838 5.222 0.009
-5.521 -3.668 2.595
Hg Te Ir
2 1 1
Cartesian
0.112 0.049 0.000
2.920 -0.881 1.293
3.529 2.480 1.302
5.850 2.574 0.000
```

Values from the calculation:
The value obtained for the raw formation energy is 0.189 eV per atom. The total magnetic moment is 0.00 μB/atom. For the final energy, the calculation gives -2.96 eV/atom.



Record 10
The following is a DFT calculation (PBE) of HgTe2Ir after structural relaxation.

Geometry as POSCAR:
```
HgTe2Ir
1.0
3.234 0.000 0.000
0.000 6.626 0.759
0.000 4.079 5.277
Hg Te Ir
1 2 1
Cartesian
0.000 6.155 3.470
0.000 10.031 5.656
1.617 2.311 1.303
1.617 8.265 4.660
```

Values from the calculation:
The value obtained for the raw formation energy is 0.075 eV per atom. The total magnetic moment is 0.00 μB/atom. For the final energy, the calculation gives -3.79 eV/atom.



Record 11
The following is a DFT calculation (PBE) of HgTeIr4 after structural relaxation.

Geometry as POSCAR:
```
HgTeIr4
1.0
1.603 -5.067 -0.419
-2.565 -3.346 -3.262
2.354 -1.690 -4.474
Ir Hg Te
4 1 1
Cartesian
1.325 -6.325 -3.266
1.701 -4.632 -5.298
0.522 -3.786 -3.056
-0.764 -5.462 -4.690
0.000 0.000 0.000
1.044 -7.577 -6.116
```

Values from the calculation:
The value obtained for the raw formation energy is 0.620 eV per atom. The total magnetic moment is 0.00 μB/atom. For the final energy, the calculation gives -5.86 eV/atom.



Record 12
The following is a DFT calculation (PBE) of Hg3TeIr after structural relaxation.

Geometry as POSCAR:
```
Hg3TeIr
1.0
-2.631 4.516 0.495
-4.169 -2.627 1.811
1.806 0.514 4.903
Hg Ir Te
3 1 1
Cartesian
-1.315 2.258 0.248
-2.084 -1.314 0.905
0.903 0.257 2.451
0.000 0.000 0.000
-2.497 1.201 3.604
```

Values from the calculation:
The value obtained for the raw formation energy is 0.541 eV per atom. The total magnetic moment is 0.00 μB/atom. For the final energy, the calculation gives -2.04 eV/atom.